The following is a PBE calculation of a geometry-optimized ZnGaBiRh2 structure, from the Alexandria database.

Cell and atoms, written as POSCAR:
```
ZnGaBiRh2
1.0
-1.021 -1.191 4.424
-4.670 -1.114 -1.377
1.315 -4.418 -0.886
Ga Rh Zn Bi
1 2 1 1
Direct
0.500 0.500 0.500 Ga
0.500 0.000 0.000 Rh
0.000 0.000 0.500 Rh
0.000 0.000 0.000 Zn
0.000 0.500 0.000 Bi
```

Results
Calculated total energy, eV per atom: -3.78
Space group: P4/mmm, No. 123
ΔE_f, eV/atom: 0.797

=====

The following is a PBE calculation of a geometry-optimized GaBiRu2 structure, from the Alexandria database.

Cell and atoms, written as POSCAR:
```
GaBiRu2
1.0
4.254 0.000 0.000
0.000 4.254 0.000
2.127 2.127 8.703
Ga Ru Bi
2 4 2
Direct
0.500 0.500 0.000 Ga
0.250 0.750 0.500 Ga
0.200 0.625 0.250 Ru
0.375 0.450 0.750 Ru
0.875 0.800 0.750 Ru
0.550 0.125 0.250 Ru
0.750 0.250 0.500 Bi
0.000 0.000 0.000 Bi
```

Results
Calculated total energy, eV per atom: -5.86
Space group: I-42d, No. 122
ΔE_f, eV/atom: 0.501

=====

The following is a PBE calculation of a geometry-optimized GaBiRu3 structure, from the Alexandria database.

Cell and atoms, written as POSCAR:
```
GaBiRu3
1.0
-2.415 -2.017 3.325
3.406 -2.985 0.663
1.875 2.824 3.076
Bi Ru Ga
1 3 1
Direct
0.500 0.500 0.500 Bi
0.500 0.000 0.000 Ru
0.000 0.000 0.500 Ru
0.000 0.500 0.000 Ru
0.000 0.000 0.000 Ga
```

Results
Calculated total energy, eV per atom: -5.94
Space group: Pm-3m, No. 221
Excess energy over the best structure of this formula in the dataset, meV/atom: 0
ΔE_f, eV/atom: 1.003

=====

The following is a PBE calculation of a geometry-optimized GaBi2Ru structure, from the Alexandria database.

Cell and atoms, written as POSCAR:
```
GaBi2Ru
1.0
-2.801 0.543 5.647
-5.118 -2.959 -2.254
-1.546 -6.696 3.422
Ru Bi Ga
2 4 2
Direct
0.750 0.250 0.500 Ru
0.000 0.000 0.000 Ru
0.875 0.905 0.750 Bi
0.095 0.625 0.250 Bi
0.375 0.345 0.750 Bi
0.655 0.125 0.250 Bi
0.250 0.750 0.500 Ga
0.500 0.500 0.000 Ga
```

Results
Calculated total energy, eV per atom: -4.52
Space group: I-42d, No. 122
ΔE_f, eV/atom: 0.496

=====

The following is a PBE calculation of a geometry-optimized GaBi3Ru structure, from the Alexandria database.

Cell and atoms, written as POSCAR:
```
GaBi3Ru
1.0
-2.148 -3.126 3.710
4.764 -0.594 2.258
-0.915 4.246 3.047
Ga Bi Ru
1 3 1
Direct
0.000 0.000 0.000 Ga
0.500 0.000 0.000 Bi
0.000 0.500 0.000 Bi
0.000 0.000 0.500 Bi
0.500 0.500 0.500 Ru
```

Results
Calculated total energy, eV per atom: -3.52
Space group: Pm-3m, No. 221
Excess energy over the best structure of this formula in the dataset, meV/atom: 786
ΔE_f, eV/atom: 1.270

=====

The following is a PBE calculation of a geometry-optimized GaBiRu3 structure, from the Alexandria database.

Cell and atoms, written as POSCAR:
```
GaBiRu3
1.0
-0.127 0.672 4.898
-4.745 -1.391 0.068
1.387 -4.698 0.681
Ru Bi Ga
3 1 1
Direct
0.000 0.000 0.500 Ru
0.000 0.500 0.000 Ru
0.500 0.000 0.000 Ru
0.000 0.000 0.000 Bi
0.500 0.500 0.500 Ga
```

Results
Calculated total energy, eV per atom: -5.00
Space group: Pm-3m, No. 221
Excess energy over the best structure of this formula in the dataset, meV/atom: 940
ΔE_f, eV/atom: 1.943

=====

The following is a PBE calculation of a geometry-optimized Ga2BiRu structure, from the Alexandria database.

Cell and atoms, written as POSCAR:
```
Ga2BiRu
1.0
-3.964 0.301 1.913
0.190 -4.276 1.067
1.940 0.080 9.095
Bi Ga Ru
2 4 2
Direct
0.000 0.000 0.000 Bi
0.750 0.250 0.500 Bi
0.222 0.625 0.250 Ga
0.375 0.472 0.750 Ga
0.875 0.778 0.750 Ga
0.528 0.125 0.250 Ga
0.250 0.750 0.500 Ru
0.500 0.500 0.000 Ru
```

Results
Calculated total energy, eV per atom: -4.59
Space group: I-42d, No. 122
ΔE_f, eV/atom: 0.215

=====

The following is a PBE calculation of a geometry-optimized GaBi3Ru structure, from the Alexandria database.

Cell and atoms, written as POSCAR:
```
GaBi3Ru
1.0
-0.498 -0.853 5.255
4.922 -2.085 0.128
2.029 4.849 0.979
Ga Bi Ru
1 3 1
Direct
0.500 0.500 0.500 Ga
0.500 0.000 0.000 Bi
0.000 0.000 0.500 Bi
0.000 0.500 0.000 Bi
0.000 0.000 0.000 Ru
```

Results
Calculated total energy, eV per atom: -4.30
Space group: Pm-3m, No. 221
Excess energy over the best structure of this formula in the dataset, meV/atom: 0
ΔE_f, eV/atom: 0.485

=====

The following is a PBE calculation of a geometry-optimized GaBi2SbRu structure, from the Alexandria database.

Cell and atoms, written as POSCAR:
```
GaBi2SbRu
1.0
5.389 0.000 0.000
0.000 5.039 0.000
0.000 0.000 5.389
Bi Sb Ru Ga
2 1 1 1
Direct
0.000 0.000 0.500 Bi
0.500 0.000 0.000 Bi
0.000 0.500 0.000 Sb
0.500 0.500 0.500 Ru
0.000 0.000 0.000 Ga
```

Results
Calculated total energy, eV per atom: -3.59
Space group: P4/mmm, No. 123

=====

The following is a PBE calculation of a geometry-optimized GaBiRu2Se structure, from the Alexandria database.

Cell and atoms, written as POSCAR:
```
GaBiRu2Se
1.0
5.076 0.000 0.000
0.000 5.351 0.000
0.000 0.000 5.076
Ru Ga Bi Se
2 1 1 1
Direct
0.500 0.000 0.000 Ru
0.000 0.000 0.500 Ru
0.000 0.500 0.000 Ga
0.000 0.000 0.000 Bi
0.500 0.500 0.500 Se
```

Results
Calculated total energy, eV per atom: -4.19
Space group: P4/mmm, No. 123

=====

The following is a PBE calculation of a geometry-optimized GaTcBiRu2 structure, from the Alexandria database.

Cell and atoms, written as POSCAR:
```
GaTcBiRu2
1.0
4.805 0.000 0.000
0.000 4.820 0.000
0.000 0.000 4.805
Bi Ga Tc Ru
1 1 1 2
Direct
0.500 0.500 0.500 Bi
0.000 0.500 0.000 Ga
0.000 0.000 0.000 Tc
0.000 0.000 0.500 Ru
0.500 0.000 0.000 Ru
```

Results
Calculated total energy, eV per atom: -6.17
Space group: P4/mmm, No. 123
ΔE_f, eV/atom: 0.991

=====

The following is a PBE calculation of a geometry-optimized GaBiTe2Ru structure, from the Alexandria database.

Cell and atoms, written as POSCAR:
```
GaBiTe2Ru
1.0
5.947 0.000 0.000
0.000 5.128 0.000
0.000 0.000 5.947
Bi Te Ru Ga
1 2 1 1
Direct
0.000 0.000 0.000 Bi
0.000 0.000 0.500 Te
0.500 0.000 0.000 Te
0.000 0.500 0.000 Ru
0.500 0.500 0.500 Ga
```

Results
Calculated total energy, eV per atom: -3.50
Space group: P4/mmm, No. 123